A plane-wave DFT calculation with PBE was carried out for a relaxed structure of Tl2ZnCd2.

```
data_Tl2ZnCd2
_chemical_formula_sum 'Tl4 Zn2 Cd4'
_cell_length_a 8.9671
_cell_length_b 8.9671
_cell_length_c 3.4576
_cell_angle_alpha 90.00
_cell_angle_beta 90.00
_cell_angle_gamma 90.00
_symmetry_space_group_name_H-M 'P 1'
_symmetry_Int_Tables_number 1
loop_
_symmetry_equiv_pos_as_xyz
'x,y,z'
loop_
_atom_site_label
_atom_site_type_symbol
_atom_site_fract_x
_atom_site_fract_y
_atom_site_fract_z
_atom_site_occupancy
Tl1 Tl 0.1790 0.3210 0.0000 1
Tl2 Tl 0.3210 0.8210 0.0000 1
Tl3 Tl 0.6790 0.1790 0.0000 1
Tl4 Tl 0.8210 0.6790 0.0000 1
Zn1 Zn 0.0000 0.0000 0.0000 1
Zn2 Zn 0.5000 0.5000 0.0000 1
Cd1 Cd 0.1221 0.6221 0.5000 1
Cd2 Cd 0.3779 0.1221 0.5000 1
Cd3 Cd 0.6221 0.8779 0.5000 1
Cd4 Cd 0.8779 0.3779 0.5000 1
```

Space group ... No. 127
Energy relative to the lowest polymorph listed for this composition ... 78.6 meV per atom
Total moment ... 0.00 μB per formula unit
N(E_F) ... 1.702 states/eV/f.u.

***

A plane-wave DFT calculation with PBE was carried out for a relaxed structure of TlZn2Cd.

```
data_TlZn2Cd
_chemical_formula_sum 'Tl1 Zn2 Cd1'
_cell_length_a 5.3693
_cell_length_b 5.3693
_cell_length_c 5.3693
_cell_angle_alpha 131.09
_cell_angle_beta 131.09
_cell_angle_gamma 71.66
_symmetry_space_group_name_H-M 'P 1'
_symmetry_Int_Tables_number 1
loop_
_symmetry_equiv_pos_as_xyz
'x,y,z'
loop_
_atom_site_label
_atom_site_type_symbol
_atom_site_fract_x
_atom_site_fract_y
_atom_site_fract_z
_atom_site_occupancy
Tl1 Tl 0.0000 0.0000 0.0000 1
Zn1 Zn 0.2500 0.7500 0.5000 1
Zn2 Zn 0.7500 0.2500 0.5000 1
Cd1 Cd 0.5000 0.5000 0.0000 1
```

Space group ... No. 139
Energy relative to the lowest polymorph listed for this composition ... 69.5 meV per atom
Total moment ... 0.00 μB per formula unit
N(E_F) ... 1.791 states/eV/f.u.

***

A plane-wave DFT calculation with PBE was carried out for a relaxed structure of TlZn2Cd.

```
data_TlZn2Cd
_chemical_formula_sum 'Tl1 Zn2 Cd1'
_cell_length_a 3.7840
_cell_length_b 4.2690
_cell_length_c 5.6611
_cell_angle_alpha 90.00
_cell_angle_beta 107.92
_cell_angle_gamma 90.00
_symmetry_space_group_name_H-M 'P 1'
_symmetry_Int_Tables_number 1
loop_
_symmetry_equiv_pos_as_xyz
'x,y,z'
loop_
_atom_site_label
_atom_site_type_symbol
_atom_site_fract_x
_atom_site_fract_y
_atom_site_fract_z
_atom_site_occupancy
Tl1 Tl 0.0000 0.0000 0.0000 1
Zn1 Zn 0.5804 0.5000 0.1847 1
Zn2 Zn 0.7239 0.0000 0.4661 1
Cd1 Cd 0.3014 0.5000 0.6261 1
```

Space group ... No. 6
Energy relative to the lowest polymorph listed for this composition ... 9.2 meV per atom
Total moment ... 0.00 μB per formula unit
N(E_F) ... 1.000 states/eV/f.u.

***

A plane-wave DFT calculation with PBE was carried out for a relaxed structure of Tl2ZnCd.

```
data_Tl2ZnCd
_chemical_formula_sum 'Tl2 Zn1 Cd1'
_cell_length_a 9.6517
_cell_length_b 9.6517
_cell_length_c 9.6517
_cell_angle_alpha 21.36
_cell_angle_beta 21.36
_cell_angle_gamma 21.36
_symmetry_space_group_name_H-M 'P 1'
_symmetry_Int_Tables_number 1
loop_
_symmetry_equiv_pos_as_xyz
'x,y,z'
loop_
_atom_site_label
_atom_site_type_symbol
_atom_site_fract_x
_atom_site_fract_y
_atom_site_fract_z
_atom_site_occupancy
Tl1 Tl 0.0000 0.0000 0.0000 1
Tl2 Tl 0.1784 0.1784 0.1784 1
Zn1 Zn 0.5901 0.5901 0.5901 1
Cd1 Cd 0.4215 0.4215 0.4215 1
```

Space group ... No. 160
Energy relative to the lowest polymorph listed for this composition ... 53.2 meV per atom
Total moment ... 0.00 μB per formula unit
N(E_F) ... 1.969 states/eV/f.u.

***

A plane-wave DFT calculation with PBE was carried out for a relaxed structure of Tl2ZnCd2.

```
data_Tl2ZnCd2
_chemical_formula_sum 'Tl2 Zn1 Cd2'
_cell_length_a 8.9990
_cell_length_b 8.9990
_cell_length_c 8.9990
_cell_angle_alpha 153.97
_cell_angle_beta 153.97
_cell_angle_gamma 37.14
_symmetry_space_group_name_H-M 'P 1'
_symmetry_Int_Tables_number 1
loop_
_symmetry_equiv_pos_as_xyz
'x,y,z'
loop_
_atom_site_label
_atom_site_type_symbol
_atom_site_fract_x
_atom_site_fract_y
_atom_site_fract_z
_atom_site_occupancy
Tl1 Tl 0.0952 0.0952 0.0000 1
Tl2 Tl 0.9048 0.9048 0.0000 1
Zn1 Zn 0.5000 0.5000 0.0000 1
Cd1 Cd 0.2500 0.7500 0.5000 1
Cd2 Cd 0.7500 0.2500 0.5000 1
```

Space group ... No. 139
Energy relative to the lowest polymorph listed for this composition ... 81.3 meV per atom
Total moment ... 0.00 μB per formula unit
N(E_F) ... 2.709 states/eV/f.u.

***

A plane-wave DFT calculation with PBE was carried out for a relaxed structure of TlZn4Cd.

```
data_TlZn4Cd
_chemical_formula_sum 'Tl1 Zn4 Cd1'
_cell_length_a 5.4535
_cell_length_b 5.4535
_cell_length_c 5.4535
_cell_angle_alpha 60.00
_cell_angle_beta 60.00
_cell_angle_gamma 60.00
_symmetry_space_group_name_H-M 'P 1'
_symmetry_Int_Tables_number 1
loop_
_symmetry_equiv_pos_as_xyz
'x,y,z'
loop_
_atom_site_label
_atom_site_type_symbol
_atom_site_fract_x
_atom_site_fract_y
_atom_site_fract_z
_atom_site_occupancy
Tl1 Tl 0.0000 0.0000 0.0000 1
Zn1 Zn 0.1270 0.6243 0.6243 1
Zn2 Zn 0.6243 0.1270 0.6243 1
Zn3 Zn 0.6243 0.6243 0.1270 1
Zn4 Zn 0.6243 0.6243 0.6243 1
Cd1 Cd 0.2500 0.2500 0.2500 1
```

E ... -7.8 eV per cell
Space group ... No. 216
Total moment ... 0.00 μB per formula unit
N(E_F) ... 1.804 states/eV/f.u.